--- a ---
NaHfPdSe3: relaxed, PBE-GGA.

The structure in POSCAR format:
```
NaHfPdSe3
1.0
13.308 0.000 0.000
0.000 3.778 0.000
0.000 0.000 10.510
Na Hf Pd Se
4 4 4 12
Direct
0.225 0.250 0.056
0.275 0.750 0.556
0.725 0.250 0.444
0.775 0.750 0.944
0.015 0.250 0.324
0.485 0.750 0.824
0.515 0.250 0.176
0.985 0.750 0.676
0.003 0.750 0.101
0.497 0.250 0.601
0.503 0.750 0.399
0.997 0.250 0.899
0.102 0.250 0.563
0.116 0.750 0.866
0.150 0.750 0.265
0.350 0.250 0.765
0.384 0.250 0.366
0.398 0.750 0.063
0.602 0.250 0.937
0.616 0.750 0.634
0.650 0.750 0.235
0.850 0.250 0.735
0.884 0.250 0.134
0.898 0.750 0.437
```

Calculated values
Calculated volume (Å³ per cell): 528
Crystal system: orthorhombic

=====

--- b ---
NaHfPdSe3: relaxed, PBE-GGA.

The structure in POSCAR format:
```
NaHfPdSe3
1.0
1.869 -7.069 0.000
1.869 7.069 0.000
0.000 0.000 10.072
Na Hf Pd Se
2 2 2 6
Direct
0.237 0.763 0.750
0.763 0.237 0.250
0.000 0.000 0.000
0.000 0.000 0.500
0.469 0.531 0.250
0.531 0.469 0.750
0.087 0.913 0.250
0.365 0.635 0.046
0.365 0.635 0.454
0.635 0.365 0.546
0.635 0.365 0.954
0.913 0.087 0.750
```

Calculated values
Calculated volume (Å³ per cell): 266
Crystal system: orthorhombic

=====

Out of the structures above, which one is the least stable? Solution: b.